No. 1
4
Lattice="4.807 0.000 0.000 2.404 4.163 0.000 2.404 1.388 3.925" Properties=species:S:1:pos:R:3 comment="PBE Mg2InMo, optimized geometry" magmom_total_mub_per_cell=2.2 density_g_cm3=5.5 vol_a3_per_cell=79 spacegroup=F-43m formation_enthalpy_0k_mev_per_atom=357 pbc="T T T"
In 4.807 2.776 1.963
Mg 0.000 0.000 0.000
Mg 2.404 1.388 0.981
Mo 7.211 4.163 2.944

---

No. 2
4
Lattice="2.802 0.000 0.000 0.000 2.802 0.000 0.000 0.000 9.076" Properties=species:S:1:pos:R:3 comment="PBE MgInMo2, optimized geometry" magmom_total_mub_per_cell=0.0 density_g_cm3=7.7 vol_a3_per_cell=71 spacegroup=P4/mmm formation_enthalpy_0k_mev_per_atom=430 polymorph_energy_ev_per_atom=0.299 pbc="T T T"
In 1.401 1.401 2.269
Mg 1.401 1.401 6.807
Mo 0.000 0.000 0.005
Mo 0.000 0.000 4.533

---

No. 3
4
Lattice="5.529 -0.005 0.009 4.742 2.842 0.009 0.614 0.170 5.117" Properties=species:S:1:pos:R:3 comment="PBE MgIn2Mo, optimized geometry" magmom_total_mub_per_cell=0.0 density_g_cm3=7.2 vol_a3_per_cell=80 spacegroup=Cm formation_enthalpy_0k_mev_per_atom=239 pbc="T T T"
In 0.735 0.203 4.983
In 2.692 0.743 1.362
Mg 5.287 1.460 2.581
Mo 8.229 2.273 3.893

---

No. 4
4
Lattice="6.666 0.003 0.009 -2.646 4.560 -0.001 1.375 0.796 2.577" Properties=species:S:1:pos:R:3 comment="PBE MgIn2Mo, optimized geometry" magmom_total_mub_per_cell=0.0 density_g_cm3=7.4 vol_a3_per_cell=78 spacegroup=Cmmm formation_enthalpy_0k_mev_per_atom=250 pbc="T T T"
In 0.000 0.000 0.000
In 4.021 0.399 1.293
Mg -0.636 2.678 1.288
Mo 2.010 2.281 0.004